# ZnAsW2

ZnAsW2 after structural relaxation (GGA-PBE, Alexandria via LeMat-Bulk).

```
ZnAsW2
1.0
-1.9419 1.9419 4.1059
1.9419 -1.9419 4.1059
1.9419 1.9419 -4.1059
Zn As W
1 1 2
direct
0.0000 0.0000 0.0000 Zn
0.2500 0.7500 0.5000 As
0.5000 0.5000 0.0000 W
0.7500 0.2500 0.5000 W
```

Properties
Density of states at the Fermi level = 0.680 states/eV per atom
Formation enthalpy at 0 K = 0.470 eV per atom
E = -29.95 eV per formula unit
Distance to the lowest polymorph of the same formula = 255 meV per atom
Size of the total moment = 0.00 Bohr magnetons per cell
Mass density = 13.62 g/cm³